Density functional theory data (PBE) for a relaxed Tb4SnTe3 crystal.

Output
The value obtained for the total magnetic moment is 0.00 μB/f.u. As for the space-group type: Pm-3m, No. 221. As for the crystal system: cubic. The uncorrected formation energy is -1.23 eV per atom. As for the uncorrected energy: -5.2237 eV/atom.

The structure in POSCAR format:
```
Tb4SnTe3
1.0
-2.797 -4.279 3.506
-2.335 -2.648 -5.095
5.015 -3.619 -0.417
Te Tb Sn
3 4 1
Cartesian
1.340 -3.134 -2.756
1.109 -3.949 1.544
-2.566 -3.463 -0.795
-1.398 -2.140 1.753
-1.168 -1.324 -2.547
2.507 -1.810 -0.209
-0.059 -5.273 -1.003
0.000 0.000 0.000
```